(1)
The following is a PBE-GGA calculation of a relaxed structure of Rb3Cd2F9, from Alexandria.

It has space group P-3m1 (No. 164), with a = 6.2436 Å, b = 6.2436 Å, c = 7.9814 Å, α = 90.00°, β = 90.00° and γ = 120.00°. The distinct sites, in fractional coordinates, are Rb at (0.0000, 0.0000, 0.0000), Rb at (0.3333, 0.6667, 0.3704), Cd at (0.3333, 0.6667, 0.8417), F at (0.0000, 0.5000, 0.0000) and F at (0.1722, 0.3443, 0.6882).

For the raw total energy, the calculation gives -51.194 eV per cell. The calculation puts the formation energy (no corrections) at -2.116 eV per atom. The volume comes out at 19.25 Å³/atom. The crystal system is trigonal.


(2)
The following is a PBE-GGA calculation of a relaxed structure of Rb3CdF6, from Alexandria.

It has space group P2_1/c (No. 14), with a = 6.5934 Å, b = 6.8573 Å, c = 11.4667 Å, α = 90.00°, β = 125.02° and γ = 90.00°. The distinct sites, in fractional coordinates, are Rb at (0.0000, 0.0000, 0.0000), Rb at (0.2321, 0.0512, 0.7474), Cd at (0.5000, 0.0000, 0.5000), F at (0.1876, 0.1775, 0.4550), F at (0.2650, 0.7387, 0.4358) and F at (0.3831, 0.0490, 0.2812).

For the raw total energy, the calculation gives -76.708 eV per cell. The calculation puts the formation energy (no corrections) at -2.331 eV per atom. The volume comes out at 21.23 Å³/atom. The crystal system is monoclinic. Its energy above the most stable polymorph in this dataset is 0.0 kJ/mol of atoms.


(3)
The following is a PBE-GGA calculation of a relaxed structure of RbCdF4, from Alexandria.

It has space group Cmcm (No. 63), with a = 4.4160 Å, b = 16.6820 Å, c = 6.3975 Å, α = 90.00°, β = 90.00° and γ = 90.00°. The distinct sites, in fractional coordinates, are Rb at (0.0000, 0.1708, 0.2500), Cd at (0.0000, 0.4143, 0.2500), F at (0.0000, 0.0824, 0.7500), F at (0.0000, 0.3243, 0.0204) and F at (0.0000, 0.5000, 0.0000).

For the raw total energy, the calculation gives -85.899 eV per cell. The calculation puts the formation energy (no corrections) at -2.018 eV per atom. The volume comes out at 19.64 Å³/atom. The crystal system is orthorhombic. Its energy above the most stable polymorph in this dataset is 0.0 kJ/mol of atoms.